Entry 1:
CoSe2N2 | Alexandria via LeMat-Bulk | PBEsol | relaxed; spin magnetization = 0.0 μB/cell; D(E_F) = 0.6617 states/eV per atom; SG = P4/mmm (123); VASP energy = -5.195 eV per atom; formation energy from raw total energies = 1.3032 eV/atom; energy relative to the lowest polymorph listed for this composition = 1.724 eV/f.u.
1.0
4.659 0.000 0.000
0.000 4.659 0.000
0.000 0.000 3.287
Co Se N
1 2 2
Cartesian
0.000 0.000 0.000
0.000 2.330 0.000
2.330 0.000 0.000
0.000 0.000 1.643
2.330 2.330 1.643

---

Entry 2:
Co2SeN | Alexandria via LeMat-Bulk | PBEsol | relaxed; spin magnetization = 0.0 μB/cell; D(E_F) = 0.8527 states/eV per atom; SG = I-42d (122); VASP energy = -7.093 eV per atom; formation energy from raw total energies = -0.1300 eV/atom
1.0
-2.234 2.234 5.004
2.234 -2.234 5.004
2.234 2.234 -5.004
Co Se N
4 2 2
Cartesian
3.350 0.665 -1.251
0.665 1.117 1.251
-1.117 1.569 3.753
1.569 1.117 6.255
2.234 0.000 2.502
0.000 0.000 5.004
0.000 0.000 0.000
0.000 2.234 2.502

---

Entry 3:
CoSiSe2N | Alexandria via LeMat-Bulk | PBEsol | relaxed; spin magnetization = 0.0 μB/cell; D(E_F) = 0.4755 states/eV per atom; SG = P4/mmm (123); VASP energy = -5.594 eV per atom; formation energy from raw total energies = 0.3477 eV/atom; energy relative to the lowest polymorph listed for this composition = 0.000 eV/f.u.
1.0
4.838 0.000 0.000
0.000 4.838 0.000
0.000 0.000 3.348
Co Si Se N
1 1 2 1
Cartesian
0.000 0.000 0.000
2.419 2.419 1.674
0.000 2.419 0.000
2.419 0.000 0.000
0.000 0.000 1.674

---

Entry 4:
CoSiSeN2 | Alexandria via LeMat-Bulk | PBEsol | relaxed; spin magnetization = 0.0 μB/cell; D(E_F) = 0.8757 states/eV per atom; SG = P4/mmm (123); VASP energy = -5.929 eV per atom; formation energy from raw total energies = 0.9489 eV/atom
1.0
3.601 0.000 0.000
0.000 3.601 0.000
0.000 0.000 4.902
Co Si Se N
1 1 1 2
Cartesian
0.000 0.000 0.000
1.801 1.801 2.451
0.000 0.000 2.451
0.000 1.801 0.000
1.801 0.000 0.000